{"formula": "Sr2Tl3ReO6", "functional": "GGA-PBE", "state": "optimized geometry", "cell": [[-0.2240, 5.1629, -3.1272], [-5.0134, -1.9454, 2.7507], [4.4579, 1.9732, 6.0185]], "species": ["O", "O", "O", "O", "Tl", "O", "Tl", "Re", "Tl", "Sr", "O", "Sr"], "fractional_positions": [[0.6565, 0.9214, 0.8504], [0.3435, 0.0786, 0.1496], [0.1760, 0.1760, 0.8400], [0.9214, 0.6565, 0.8504], [0.1568, 0.8432, 0.5000], [0.8240, 0.8240, 0.1600], [0.8432, 0.1568, 0.5000], [0.0000, 0.0000, 0.0000], [0.5000, 0.5000, 0.5000], [0.3342, 0.6658, 0.0000], [0.0786, 0.3435, 0.1496], [0.6658, 0.3342, 0.0000]], "energy_ev_per_cell": -72.1, "formation_energy_uncorrected_kj_per_mol_atoms": -155.9, "space_group": "C2/m"}